Compound: Na2TlCoF6
Source: the Alexandria database
Functional: PBE+U
Structure: optimized geometry

Unit cell a=5.7802 b=5.7802 c=15.8650 alpha=90.00 beta=90.00 gamma=120.00
Closest atoms and distances in Å follow each position.
Space group R3 (No. 146, hexagonal axes)
Inequivalent atoms, fractional coordinates:
Na1 0.0000 0.0000 0.0000 x3  6 F 2.27-2.49
Na2 0.0000 0.0000 0.4737 x3  6 F 2.31-2.53
Tl1 0.0000 0.0000 0.2050 x3  3 F 2.57
Co1 0.0000 0.0000 0.6748 x3  6 F 1.88
F1 0.0438 0.7665 0.6024 x9  1 Co 1.88
F2 0.0706 0.3837 0.4062 x9  1 Co 1.88

Energy above the most stable polymorph in this dataset: 0 meV per atom
Uncorrected energy: -4.347 eV per atom
Calculated volume: 15.30 A^3/atom